# SrAlH4Cl, relaxed, DFT PBE-GGA
# - uncorrected energy (eV/atom) = -3.600
# - ρ (g/cm³) = 2.1
data_SrAlH4Cl
_chemical_formula_sum 'Sr2 Al2 H8 Cl2'
_symmetry_space_group_name_H-M 'P 1'
_symmetry_Int_Tables_number 1
_symmetry_space_group_name_Hall 'P 1'
_cell_length_a 6.2541
_cell_length_b 6.2541
_cell_length_c 6.8738
_cell_angle_alpha 79.31
_cell_angle_beta 79.31
_cell_angle_gamma 71.83
loop_
_atom_site_label
_atom_site_fract_x
_atom_site_fract_y
_atom_site_fract_z
_atom_site_occupancy
Al1 0.6261 0.6261 0.7496 1
Al2 0.3739 0.3739 0.2504 1
H1 0.8462 0.5050 0.8711 1
H2 0.3028 0.3028 0.4859 1
H3 0.6972 0.6972 0.5141 1
H4 0.1538 0.4950 0.1289 1
H5 0.5370 0.5370 0.2121 1
H6 0.4950 0.1538 0.1289 1
H7 0.5050 0.8462 0.8711 1
H8 0.4630 0.4630 0.7879 1
Sr1 0.2161 0.2161 0.8575 1
Sr2 0.7839 0.7839 0.1425 1
Cl1 0.9619 0.9619 0.7570 1
Cl2 0.0381 0.0381 0.2430 1